Pr4RuI3 | PBE-GGA | relaxed

Cell and atoms, written as extended XYZ:
```
16
Lattice="6.334 0.000 0.000 0.000 13.068 0.000 0.000 0.000 6.402" Properties=species:S:1:pos:R:3 pbc="T T T"
Pr 1.583 0.671 1.294
Pr 1.583 3.267 4.647
Pr 1.583 5.863 1.294
Pr 1.583 9.801 5.188
Pr 4.750 3.267 1.213
Pr 4.750 7.205 5.107
Pr 4.750 9.801 1.755
Pr 4.750 12.397 5.107
Ru 1.583 3.267 1.285
Ru 4.750 9.801 5.116
I 1.583 6.568 4.514
I 1.583 9.801 1.968
I 1.583 13.035 4.514
I 4.750 0.034 1.887
I 4.750 3.267 4.433
I 4.750 6.500 1.887
```

Summary:
Its space group is No. 59. Its total energy is -76.1 eV for the cell shown. The calculation puts the total magnetic moment at 0.000 Bohr magnetons per cell. The energy relative to the elements, uncorrected comes out at -628 meV per atom.


Pr7RuI12 | PBE-GGA | relaxed

Cell and atoms, written as extended XYZ:
```
20
Lattice="8.141 4.700 3.734 -8.141 4.700 3.734 0.000 -9.400 3.734" Properties=species:S:1:pos:R:3 pbc="T T T"
Pr 0.000 0.000 0.000
Pr -2.247 -0.609 3.994
Pr 1.651 -1.642 3.994
Pr 0.596 2.250 3.994
Pr -0.596 -2.250 7.207
Pr -1.651 1.642 7.207
Pr 2.247 0.609 7.207
Ru 0.000 0.000 5.601
I -0.656 -2.530 1.818
I -1.863 1.833 1.818
I -3.190 -3.270 5.533
I -4.427 1.128 5.668
I 2.519 0.696 1.818
I 1.237 -4.397 5.668
I -1.237 4.397 5.533
I -2.519 -0.696 9.383
I 4.427 -1.128 5.533
I 3.190 3.270 5.668
I 1.863 -1.833 9.383
I 0.656 2.530 9.383
```

Summary:
Its space group is No. 148. Its total energy is -86.2 eV for the cell shown. The calculation puts the total magnetic moment at 2.018 Bohr magnetons per cell. The energy relative to the elements, uncorrected comes out at -1243 meV per atom.


Pr4RuI5 | PBE-GGA | relaxed

Cell and atoms, written as extended XYZ:
```
10
Lattice="9.894 -2.159 0.000 9.894 2.159 0.000 -2.183 0.000 9.107" Properties=species:S:1:pos:R:3 pbc="T T T"
Pr -0.458 0.000 1.912
Pr 18.062 0.000 7.195
Pr 5.087 0.000 8.443
Pr 12.518 0.000 0.665
Ru 9.894 0.000 0.000
I 2.588 0.000 3.101
I 1.615 0.000 7.567
I 8.802 0.000 4.554
I 15.990 0.000 1.540
I 15.017 0.000 6.006
```

Summary:
Its space group is No. 12. Its total energy is -47.1 eV for the cell shown. The calculation puts the total magnetic moment at 0.001 Bohr magnetons per cell. The energy relative to the elements, uncorrected comes out at -1091 meV per atom.


Pr4Ru2I5 | PBE-GGA | relaxed

Cell and atoms, written as extended XYZ:
```
11
Lattice="-2.167 4.462 10.108 2.167 -4.462 10.108 2.167 4.462 -10.108" Properties=species:S:1:pos:R:3 pbc="T T T"
Pr 0.000 0.000 3.612
Pr 2.167 1.838 0.000
Pr 0.000 2.624 10.108
Pr 0.000 0.000 16.605
Ru 0.000 0.000 1.191
Ru 0.000 0.000 19.026
I 2.167 2.470 -3.395
I 2.167 2.470 3.395
I 0.000 4.462 0.000
I 0.000 1.992 6.713
I 0.000 1.992 13.504
```

Summary:
Its space group is No. 71. The value obtained for the offset from the most stable computed form is 5.2 kJ/mol of atoms. Its total energy is -53.3 eV for the cell shown. The calculation puts the total magnetic moment at 0.000 Bohr magnetons per cell. The energy relative to the elements, uncorrected comes out at -720 meV per atom.


Pr5Ru2I2 | PBE-GGA | relaxed

Cell and atoms, written as extended XYZ:
```
18
Lattice="8.573 -4.060 0.000 8.573 4.060 0.000 0.000 0.000 8.130" Properties=species:S:1:pos:R:3 pbc="T T T"
Pr 0.000 0.000 0.000
Pr 6.757 2.796 5.327
Pr 6.757 1.264 1.262
Pr 10.388 2.796 5.327
Pr 10.388 1.264 1.262
Pr 8.573 0.000 4.065
Pr 6.757 -1.264 6.868
Pr 6.757 -2.796 2.803
Pr 10.388 -1.264 6.868
Pr 10.388 -2.796 2.803
Ru 8.573 2.899 2.910
Ru 8.573 1.162 6.975
Ru 8.573 -1.162 1.155
Ru 8.573 -2.899 5.220
I 3.666 0.000 0.000
I 4.907 0.000 4.065
I 12.239 0.000 4.065
I 13.480 0.000 0.000
```

Summary:
Its space group is No. 64. Its total energy is -100.8 eV for the cell shown. The calculation puts the total magnetic moment at 0.000 Bohr magnetons per cell. The energy relative to the elements, uncorrected comes out at -540 meV per atom.


Pr4Ru2I5 | PBE-GGA | relaxed

Cell and atoms, written as extended XYZ:
```
11
Lattice="11.411 -2.146 0.000 11.411 2.146 0.000 -1.155 0.000 8.839" Properties=species:S:1:pos:R:3 pbc="T T T"
Pr 0.349 0.000 1.865
Pr 6.691 0.000 8.171
Pr 14.976 0.000 0.669
Pr 21.318 0.000 6.974
Ru 9.052 0.000 8.791
Ru 12.615 0.000 0.049
I 3.362 0.000 3.099
I 3.472 0.000 7.307
I 10.833 0.000 4.420
I 18.195 0.000 1.532
I 18.305 0.000 5.741
```

Summary:
Its space group is No. 12. The value obtained for the offset from the most stable computed form is 0.0 kJ/mol of atoms. Its total energy is -53.9 eV for the cell shown. The calculation puts the total magnetic moment at 0.000 Bohr magnetons per cell. The energy relative to the elements, uncorrected comes out at -774 meV per atom.


Pr3RuI3 | PBE-GGA | relaxed

Cell and atoms, written as extended XYZ:
```
14
Lattice="9.422 0.000 0.000 0.000 4.332 0.000 -0.615 0.000 12.687" Properties=species:S:1:pos:R:3 pbc="T T T"
Pr 0.679 1.083 4.947
Pr 0.564 1.083 10.533
Pr 2.513 3.249 7.822
Pr 6.295 1.083 4.865
Pr 8.244 3.249 2.154
Pr 8.128 3.249 7.740
Ru 0.628 1.083 7.850
Ru 8.180 3.249 4.837
I 1.194 1.083 1.482
I 2.902 3.249 11.080
I 3.523 3.249 4.650
I 5.285 1.083 8.037
I 5.905 1.083 1.606
I 7.613 3.249 11.205
```

Summary:
Its space group is No. 11. Its total energy is -70.5 eV for the cell shown. The calculation puts the total magnetic moment at 0.000 Bohr magnetons per cell. The energy relative to the elements, uncorrected comes out at -999 meV per atom.


Pr6Ru2SI3 | PBE-GGA | relaxed

Cell and atoms, written as extended XYZ:
```
12
Lattice="3.668 -6.347 0.000 3.668 6.347 0.000 -2.441 0.000 8.101" Properties=species:S:1:pos:R:3 pbc="T T T"
Pr -0.041 2.202 6.584
Pr 1.122 0.000 1.516
Pr -0.041 -2.202 6.584
Pr 4.937 2.202 1.517
Pr 3.773 0.000 6.585
Pr 4.937 -2.202 1.517
Ru 3.668 4.230 0.000
Ru 3.668 -4.230 0.000
S 3.668 0.000 0.000
I -1.220 0.000 4.051
I 2.448 2.103 4.051
I 2.448 -2.103 4.051
```

Summary:
Its space group is No. 12. Its total energy is -67.4 eV for the cell shown. The calculation puts the total magnetic moment at 0.000 Bohr magnetons per cell. The energy relative to the elements, uncorrected comes out at -945 meV per atom.


Q: Which formula does entry 6 have?
A: Pr4Ru2I5


Q: Which of these has the highest total magnetic moment?
A: Pr7RuI12